[1]
Computed, not measured: a relaxed ZrTi2Tl2 crystal at the PBE level of DFT.

Lattice parameters (Å, degrees): 8.228 8.228 3.119 90.00 90.00 90.00
Site moments in Bohr magnetons follow the coordinates.
Atoms (fractional coordinates):
1 Tl 0.318 0.182 0.500  0.00
2 Tl 0.182 0.682 0.500  -0.01
3 Tl 0.682 0.818 0.500  0.00
4 Tl 0.818 0.318 0.500  -0.01
5 Zr 0.000 0.000 0.000  -0.05
6 Zr 0.500 0.500 0.000  -0.05
7 Ti 0.887 0.613 0.000  0.79
8 Ti 0.387 0.887 0.000  0.81
9 Ti 0.613 0.113 0.000  0.81
10 Ti 0.113 0.387 0.000  0.79

Output
Its total DFT energy (no corrections) is -5.619 eV per atom. For the energy of formation, the calculation gives 195 meV/atom. The density of states at the Fermi level comes out at 9.5 states/eV per cell. For the energy relative to the lowest polymorph listed for this composition, the calculation gives 91 meV per atom. The total moment comes out at 0.368 μB per atom. Its density is 9.4 g/cm³.


[2]
Computed, not measured: a relaxed Ba2LiLa crystal at the PBE level of DFT.

Lattice parameters (Å, degrees): 4.142 4.142 10.368 90.00 90.00 90.00
Atoms (fractional coordinates):
1 La 0.000 0.000 0.555
2 Ba 0.000 0.000 0.941
3 Ba 0.500 0.500 0.281
4 Li 0.500 0.500 0.723

Output
Its total DFT energy (no corrections) is -2.542 eV per atom. For the energy of formation, the calculation gives 129 meV/atom. The density of states at the Fermi level comes out at 6.8 states/eV per cell. For the energy relative to the lowest polymorph listed for this composition, the calculation gives 0 meV per atom. The total moment comes out at 0.003 μB per atom. Its density is 3.9 g/cm³.